# CeZr7O16, PBEsol geometry, DFT SCAN
# Symmetry   Cm
# Energy above the most stable polymorph in this dataset   12 meV/atom
# E_tot   -449.128 eV for the cell shown
# Formation energy from raw total energies   -3.749 eV/atom
data_CeZr7O16
_chemical_formula_sum 'Ce1 Zr7 O16'
_symmetry_space_group_name_H-M 'P 1'
_symmetry_Int_Tables_number 1
_symmetry_space_group_name_Hall 'P 1'
_cell_length_a 6.341
_cell_length_b 7.234
_cell_length_c 7.292
_cell_angle_alpha 119.74
_cell_angle_beta 107.57
_cell_angle_gamma 90.00
loop_
_atom_site_label
_atom_site_type_symbol
_atom_site_fract_x
_atom_site_fract_y
_atom_site_fract_z
O1 O 0.368 0.076 0.152
O2 O 0.352 0.574 0.149
O3 O 0.891 0.319 0.109
O4 O 0.598 0.947 0.893
O5 O 0.648 0.928 0.352
O6 O 0.648 0.424 0.352
O7 O 0.114 0.704 0.409
O8 O 0.590 0.445 0.891
O9 O 0.150 0.670 0.850
O10 O 0.891 0.790 0.109
O11 O 0.850 0.326 0.651
O12 O 0.150 0.181 0.850
O13 O 0.849 0.815 0.629
O14 O 0.400 0.050 0.600
O15 O 0.400 0.550 0.600
O16 O 0.102 0.202 0.403
Ce1 Ce 0.001 0.000 0.000
Zr1 Zr 0.502 0.749 0.002
Zr2 Zr 0.003 0.498 0.997
Zr3 Zr 0.503 0.253 0.506
Zr4 Zr 0.495 0.749 0.498
Zr5 Zr 0.997 0.502 0.497
Zr6 Zr 0.502 0.253 0.002
Zr7 Zr 0.997 0.995 0.497